No. 1
# ZnCdTc2, optimized geometry, DFT GGA-PBE
data_ZnCdTc2
_space_group_name_H-M_alt 'C m m 2'
_space_group_IT_number 35
_cell_length_a 2.9411
_cell_length_b 4.6880
_cell_length_c 9.4158
_cell_angle_alpha 90.00
_cell_angle_beta 90.00
_cell_angle_gamma 90.00
loop_
_space_group_symop_operation_xyz
'x,y,z'
'-x,-y,z'
'-x,y,z'
'x,-y,z'
'x+1/2,y+1/2,z'
'-x+1/2,-y+1/2,z'
'-x+1/2,y+1/2,z'
'x+1/2,-y+1/2,z'
loop_
_atom_site_label
_atom_site_type_symbol
_atom_site_fract_x
_atom_site_fract_y
_atom_site_fract_z
Zn1 Zn 0.0000 0.0000 0.0000
Cd1 Cd 0.0000 0.5000 0.2683
Tc1 Tc 0.0000 0.0000 0.5395
Tc2 Tc 0.0000 0.5000 0.7622
# Total DFT energy (no corrections)   -43.93 eV/cell
# DOS(E_F)   4.66 states/eV per cell
# Total moment   0.000 μB per formula unit
# Energy above the lowest structure with this stoichiometry   177.8 meV/atom

No. 2
# ZnCdTc2, optimized geometry, DFT GGA-PBE
data_ZnCdTc2
_space_group_name_H-M_alt 'C 1 2/m 1'
_space_group_IT_number 12
_cell_length_a 9.6906
_cell_length_b 3.0622
_cell_length_c 4.4667
_cell_angle_alpha 90.00
_cell_angle_beta 106.39
_cell_angle_gamma 90.00
loop_
_space_group_symop_operation_xyz
'x,y,z'
'-x,-y,-z'
'-x,y,-z'
'x,-y,z'
'x+1/2,y+1/2,z'
'-x+1/2,-y+1/2,-z'
'-x+1/2,y+1/2,-z'
'x+1/2,-y+1/2,z'
loop_
_atom_site_label
_atom_site_type_symbol
_atom_site_fract_x
_atom_site_fract_y
_atom_site_fract_z
Zn1 Zn 0.0000 0.0000 0.0000
Cd1 Cd 0.0000 0.5000 0.5000
Tc1 Tc 0.2417 0.5000 0.2281
# Total DFT energy (no corrections)   -43.02 eV/cell
# DOS(E_F)   6.57 states/eV per cell
# Total moment   0.000 μB per formula unit
# Energy above the lowest structure with this stoichiometry   291.6 meV/atom

No. 3
# ZnCd2Tc, optimized geometry, DFT GGA-PBE
data_ZnCd2Tc
_space_group_name_H-M_alt 'C m m m'
_space_group_IT_number 65
_space_group_name_Hall '-C 2 2'
_cell_length_a 5.6618
_cell_length_b 8.6780
_cell_length_c 2.8512
_cell_angle_alpha 90.00
_cell_angle_beta 90.00
_cell_angle_gamma 90.00
loop_
_atom_site_label
_atom_site_type_symbol
_atom_site_fract_x
_atom_site_fract_y
_atom_site_fract_z
Zn1 Zn 0.0000 0.0000 0.0000
Cd1 Cd 0.2500 0.2500 0.5000
Tc1 Tc 0.0000 0.5000 0.0000
# Total DFT energy (no corrections)   -24.75 eV/cell
# DOS(E_F)   4.22 states/eV per cell
# Total moment   0.000 μB per formula unit

No. 4
# ZnCd2Tc, optimized geometry, DFT GGA-PBE
data_ZnCd2Tc
_space_group_name_H-M_alt 'P m m 2'
_space_group_IT_number 25
_cell_length_a 2.8123
_cell_length_b 4.1958
_cell_length_c 5.9834
_cell_angle_alpha 90.00
_cell_angle_beta 90.00
_cell_angle_gamma 90.00
loop_
_space_group_symop_operation_xyz
'x,y,z'
'-x,-y,z'
'-x,y,z'
'x,-y,z'
loop_
_atom_site_label
_atom_site_type_symbol
_atom_site_fract_x
_atom_site_fract_y
_atom_site_fract_z
Zn1 Zn 0.0000 0.0000 0.0000
Cd1 Cd 0.0000 0.0000 0.5524
Cd2 Cd 0.5000 0.5000 0.2812
Tc1 Tc 0.5000 0.5000 0.8076
# Total DFT energy (no corrections)   -12.32 eV/cell
# DOS(E_F)   2.46 states/eV per cell
# Total moment   0.000 μB per formula unit

Among the records above, which one has the lowest DOS(E_F)? number 4

Which value of DOS(E_F) does entry 4 give? 2.46 states/eV per cell